[1]
A geometry-optimized Nd2Ho3Ni2 structure. Source: Alexandria via LeMat-Bulk, functional PBE-GGA.

Geometry as extended XYZ:
```
7
Lattice="-0.742 1.833 3.024 -5.662 -1.808 -2.452 4.399 -6.254 4.871" Properties=species:S:1:pos:R:3 pbc="T T T"
Nd 1.580 -5.358 3.636
Nd -3.584 -0.871 1.807
Ni -1.039 -4.423 4.585
Ni -0.965 -1.806 0.858
Ho -2.124 -4.229 2.043
Ho -0.371 0.917 1.512
Ho 0.119 -2.000 3.400
```

Computed properties:
The crystal system is monoclinic. Its energy is -5.215 eV per atom. Its calculated formation energy is -239 meV/atom.



[2]
A geometry-optimized Pm2Ga3NiIr4 structure. Source: Alexandria via LeMat-Bulk, functional PBE-GGA.

Geometry as extended XYZ:
```
10
Lattice="-4.146 0.495 0.387 -0.466 -0.697 -4.109 -1.046 -10.193 1.848" Properties=species:S:1:pos:R:3 pbc="T T T"
Ga -0.370 -1.680 -1.813
Ga -0.523 -5.096 0.924
Ga -2.982 -8.614 1.800
Pm -1.019 -8.009 -0.666
Pm -2.333 -2.285 0.652
Ni -2.829 -5.197 -0.937
Ir -2.735 -6.204 1.363
Ir -0.617 -4.090 -1.376
Ir -2.306 -0.101 -1.861
Ir 0.000 0.000 0.000
```

Computed properties:
The crystal system is tetragonal. Its energy is -6.575 eV per atom. Its calculated formation energy is -594 meV/atom.



[3]
A geometry-optimized MoIrPt2Rh2 structure. Source: Alexandria via LeMat-Bulk, functional PBE-GGA.

Geometry as extended XYZ:
```
12
Lattice="-1.204 -1.240 -2.091 0.777 -12.262 6.823 -4.502 0.870 2.076" Properties=species:S:1:pos:R:3 pbc="T T T"
Pt -1.669 -2.174 0.491
Pt -3.155 -3.686 4.002
Pt -3.259 -10.458 6.318
Pt -0.569 -7.707 4.897
Ir -2.251 0.435 1.038
Ir -0.213 -6.751 2.366
Rh -3.407 -8.124 5.019
Rh -1.521 -4.508 1.789
Rh -3.303 -1.352 2.704
Rh -0.421 -10.041 6.196
Mo 0.000 0.000 0.000
Mo -2.464 -6.316 3.404
```

Computed properties:
The crystal system is orthorhombic. Its energy is -7.551 eV per atom. Its calculated formation energy is 195 meV/atom.



[4]
A geometry-optimized Tb4SnTe structure. Source: Alexandria via LeMat-Bulk, functional PBE-GGA.

Geometry as extended XYZ:
```
12
Lattice="6.423 -0.002 0.000 -0.005 7.457 0.451 -3.210 -2.655 7.978" Properties=species:S:1:pos:R:3 pbc="T T T"
Te -1.608 2.401 4.214
Te 1.606 -1.328 3.989
Tb 0.603 3.967 2.481
Tb -0.636 1.848 6.986
Tb 3.814 4.562 6.171
Tb 3.844 2.952 1.443
Tb 0.639 -1.879 6.763
Tb 2.569 6.679 1.666
Tb -0.606 0.238 2.258
Tb 2.605 0.834 5.948
Sn 5.406 5.593 0.339
Sn -2.198 -0.792 8.090
```

Computed properties:
The crystal system is triclinic. Its energy is -4.758 eV per atom. The uncorrected formation energy comes out at -0.480 eV/atom.



[5]
A geometry-optimized MgInGa4 structure. Source: Alexandria via LeMat-Bulk, functional PBE-GGA.

Geometry as extended XYZ:
```
6
Lattice="4.130 -0.019 1.492 2.080 5.392 0.589 0.209 -1.162 5.688" Properties=species:S:1:pos:R:3 pbc="T T T"
Mg 4.130 -0.019 1.492
Ga 1.985 1.990 0.913
Ga 5.059 4.411 5.153
Ga 1.360 -0.200 2.616
Ga 4.434 2.221 6.857
In 3.210 2.105 3.885
```

Computed properties:
The crystal system is monoclinic. The value obtained for the offset from the most stable computed form is 0.000 eV/atom. Its energy is -2.763 eV per atom. Its calculated formation energy is -23 meV/atom.



[6]
A geometry-optimized SrSm4Se5 structure. Source: Alexandria via LeMat-Bulk, functional PBE-GGA.

Geometry as extended XYZ:
```
10
Lattice="4.215 0.000 0.000 0.000 4.215 0.000 -2.107 -2.107 14.937" Properties=species:S:1:pos:R:3 pbc="T T T"
Se 2.107 2.107 5.982
Se 0.000 0.000 8.955
Se 0.000 0.000 3.047
Se 2.107 2.107 11.890
Se 2.107 2.107 0.000
Sm 2.107 2.107 3.061
Sm 2.107 2.107 8.922
Sm 0.000 0.000 11.877
Sm 0.000 0.000 6.015
Sr 0.000 0.000 0.000
```

Computed properties:
The crystal system is tetragonal. The value obtained for the offset from the most stable computed form is 0.011 eV/atom. Its energy is -5.641 eV per atom. The uncorrected formation energy comes out at -1.843 eV/atom.



[7]
A geometry-optimized SmDyLu structure. Source: Alexandria via LeMat-Bulk, functional PBE-GGA.

Geometry as extended XYZ:
```
3
Lattice="3.541 0.000 0.000 0.000 3.541 0.000 -1.771 -1.771 7.527" Properties=species:S:1:pos:R:3 pbc="T T T"
Lu 1.771 1.771 2.525
Dy 0.000 0.000 4.988
Sm 0.000 0.000 0.014
```

Computed properties:
The crystal system is tetragonal. The value obtained for the offset from the most stable computed form is 0.000 eV/atom. Its energy is -4.587 eV per atom. Its calculated formation energy is 27 meV/atom.



[8]
A geometry-optimized KSe2NF structure. Source: Alexandria via LeMat-Bulk, functional PBE-GGA.

Geometry as extended XYZ:
```
5
Lattice="6.432 0.000 0.000 0.000 6.432 0.000 0.000 0.000 5.553" Properties=species:S:1:pos:R:3 pbc="T T T"
Se 3.216 0.000 0.000
Se 0.000 3.216 0.000
K 0.000 0.000 0.000
F 3.216 3.216 2.776
N 0.000 0.000 2.776
```

Computed properties:
The crystal system is tetragonal. The value obtained for the offset from the most stable computed form is 0.774 eV/atom. Its energy is -2.310 eV per atom. The uncorrected formation energy comes out at 1.343 eV/atom.



[9]
A geometry-optimized ZnInNiH structure. Source: Alexandria via LeMat-Bulk, functional PBE-GGA.

Geometry as extended XYZ:
```
8
Lattice="4.402 0.000 0.005 0.000 2.959 0.000 -1.936 0.000 8.829" Properties=species:S:1:pos:R:3 pbc="T T T"
Zn 1.158 0.000 7.358
Zn 2.126 1.479 2.943
H 3.641 1.479 1.998
H 2.673 0.000 6.413
In 0.787 0.000 0.502
In -0.181 1.479 4.917
Ni 2.007 0.000 4.985
Ni 2.975 1.479 0.570
```

Computed properties:
The crystal system is monoclinic. The value obtained for the offset from the most stable computed form is 0.021 eV/atom. Its energy is -3.287 eV per atom.



[10]
A geometry-optimized CrTeW2 structure. Source: Alexandria via LeMat-Bulk, functional PBE-GGA.

Geometry as extended XYZ:
```
4
Lattice="4.860 -0.121 0.000 1.456 4.639 0.000 -3.158 -2.259 2.926" Properties=species:S:1:pos:R:3 pbc="T T T"
Te 2.430 -0.061 1.463
W 0.000 0.000 0.000
W 0.728 2.319 1.463
Cr 3.158 2.259 0.000
```

Computed properties:
The crystal system is tetragonal. Its energy is -8.923 eV per atom. The uncorrected formation energy comes out at 0.744 eV/atom.



[11]
A geometry-optimized YErHg4 structure. Source: Alexandria via LeMat-Bulk, functional PBE-GGA.

Geometry as extended XYZ:
```
6
Lattice="3.805 0.003 -0.470 0.000 5.208 0.018 -0.992 -0.017 7.563" Properties=species:S:1:pos:R:3 pbc="T T T"
Hg 0.828 2.585 2.714
Hg 1.199 5.182 5.727
Hg 0.595 5.193 0.855
Hg 3.031 2.580 4.883
Er 2.803 5.189 3.074
Y 2.422 2.591 -0.001
```

Computed properties:
The crystal system is monoclinic. The value obtained for the offset from the most stable computed form is 0.000 eV/atom. Its energy is -2.432 eV per atom. Its calculated formation energy is -393 meV/atom.



[12]
A geometry-optimized Mg2ZrOsW structure. Source: Alexandria via LeMat-Bulk, functional PBE-GGA.

Geometry as extended XYZ:
```
5
Lattice="4.792 0.000 0.000 0.000 4.811 0.000 0.000 0.000 4.792" Properties=species:S:1:pos:R:3 pbc="T T T"
W 0.000 2.406 0.000
Os 0.000 0.000 0.000
Mg 0.000 0.000 2.396
Mg 2.396 0.000 0.000
Zr 2.396 2.406 2.396
```

Computed properties:
The crystal system is tetragonal. Its energy is -6.263 eV per atom. Its calculated formation energy is 921 meV/atom.



[13]
A geometry-optimized Zn5AsRh6 structure. Source: Alexandria via LeMat-Bulk, functional PBE-GGA.

Geometry as extended XYZ:
```
12
Lattice="-0.667 2.623 3.306 -4.167 2.497 -5.583 -0.977 -6.892 2.510" Properties=species:S:1:pos:R:3 pbc="T T T"
Rh -1.708 0.893 1.710
Rh -4.918 0.163 -1.122
Rh -4.104 -2.666 -1.476
Rh -3.894 -2.851 1.476
Rh -1.917 1.079 -1.242
Rh -0.893 -1.936 1.356
Zn -3.931 2.130 -2.483
Zn -3.100 -0.644 -2.876
Zn -1.881 -3.902 2.717
Zn -2.044 -3.752 -0.197
Zn -2.906 -0.886 0.117
As 0.000 0.000 0.000
```

Computed properties:
The crystal system is orthorhombic. Its energy is -5.052 eV per atom. Its calculated formation energy is -458 meV/atom.



[14]
A geometry-optimized Cd3FeC structure. Source: Alexandria via LeMat-Bulk, functional PBE-GGA.

Geometry as extended XYZ:
```
5
Lattice="-4.295 1.518 0.233 -1.176 -2.806 -3.398 -0.987 -3.259 3.034" Properties=species:S:1:pos:R:3 pbc="T T T"
Cd -0.493 -1.630 1.517
Cd -0.588 -1.403 -1.699
Cd -2.147 0.759 0.117
Fe -3.229 -2.274 -0.065
C 0.000 0.000 0.000
```

Computed properties:
The crystal system is cubic. The value obtained for the offset from the most stable computed form is 0.000 eV/atom. Its energy is -2.921 eV per atom. Its calculated formation energy is 1166 meV/atom.



[15]
A geometry-optimized Nd8Co3Hg2 structure. Source: Alexandria via LeMat-Bulk, functional PBE-GGA.

Geometry as extended XYZ:
```
13
Lattice="7.102 0.000 0.233 0.000 7.475 0.000 -2.592 -3.737 7.374" Properties=species:S:1:pos:R:3 pbc="T T T"
Nd 2.194 5.656 1.552
Nd 2.194 1.819 1.552
Nd 6.154 3.737 1.739
Nd 2.315 -1.919 6.055
Nd -1.644 0.000 5.868
Nd 5.588 0.000 1.999
Nd 2.315 1.919 6.055
Nd -1.079 3.737 5.608
Hg 0.892 0.000 3.906
Hg 3.617 3.737 3.701
Co 3.551 0.000 0.117
Co 0.000 1.574 0.000
Co 0.000 5.901 0.000
```

Computed properties:
The crystal system is monoclinic. Its energy is -4.709 eV per atom. Its calculated formation energy is -89 meV/atom.



[16]
A geometry-optimized Mg5In8Hg structure. Source: Alexandria via LeMat-Bulk, functional PBE-GGA.

Geometry as extended XYZ:
```
14
Lattice="7.741 -0.020 0.034 -2.638 7.277 -0.034 -2.466 -3.689 6.343" Properties=species:S:1:pos:R:3 pbc="T T T"
In 1.815 3.412 1.567
In -2.506 3.535 3.046
In 5.432 -1.879 4.162
In -0.095 3.550 5.443
In 4.258 0.656 2.225
In 0.907 0.492 2.686
In -0.968 4.974 0.395
In 1.709 -0.467 5.847
Mg 2.591 2.323 4.520
Mg 2.638 -1.855 3.188
Mg -0.380 -2.989 6.161
Mg -0.884 1.899 0.699
Mg 3.947 5.903 1.305
Hg -1.233 0.867 4.749
```

Computed properties:
The crystal system is tetragonal. Its energy is -2.161 eV per atom. Its calculated formation energy is -5 meV/atom.



[17]
A geometry-optimized Pr3SbO7 structure. Source: Alexandria via LeMat-Bulk, functional PBE-GGA.

Geometry as extended XYZ:
```
22
Lattice="-0.225 0.920 6.665 -3.664 -5.361 -1.775 6.251 -4.550 0.839" Properties=species:S:1:pos:R:3 pbc="T T T"
O 2.543 -3.030 3.045
O 2.435 -5.986 3.463
O -2.028 -2.406 4.444
O -2.894 -3.987 2.320
O 5.256 -5.004 3.409
O -1.725 -5.758 -0.355
O 1.555 -7.857 -0.129
O 4.087 -3.233 6.084
O -0.073 -3.005 2.266
O -0.181 -5.961 2.684
O 0.684 -4.381 4.808
O 0.807 -1.134 5.858
O 4.390 -6.585 1.286
O 1.678 -4.610 0.921
Pr 3.125 -2.275 0.420
Pr 0.000 0.000 0.000
Pr 1.153 -7.983 2.178
Pr -0.352 -3.858 -0.279
Pr 1.209 -1.008 3.551
Pr 2.714 -5.133 6.008
Sb -1.945 -2.220 2.445
Sb 1.181 -4.495 2.865
```

Computed properties:
The crystal system is orthorhombic. The value obtained for the offset from the most stable computed form is 0.007 eV/atom. Its energy is -7.660 eV per atom. The uncorrected formation energy comes out at -2.826 eV/atom.



[18]
A geometry-optimized RbI3O structure. Source: Alexandria via LeMat-Bulk, functional PBE-GGA.

Geometry as extended XYZ:
```
5
Lattice="-3.439 -3.245 -2.488 -2.100 -1.388 4.713 -3.509 4.011 -0.383" Properties=species:S:1:pos:R:3 pbc="T T T"
I -1.050 -0.694 2.356
I -1.719 -1.623 -1.244
I -1.754 2.006 -0.191
O 0.000 0.000 0.000
Rb -4.524 -0.311 0.921
```

Computed properties:
The crystal system is cubic. The value obtained for the offset from the most stable computed form is 0.037 eV/atom. Its energy is -2.397 eV per atom. The uncorrected formation energy comes out at -0.282 eV/atom.



[19]
A geometry-optimized Cd2CoSb structure. Source: Alexandria via LeMat-Bulk, functional PBE-GGA.

Geometry as extended XYZ:
```
4
Lattice="9.299 -0.101 -0.060 8.763 3.114 -0.060 8.763 1.462 2.750" Properties=species:S:1:pos:R:3 pbc="T T T"
Cd 26.508 4.421 2.600
Cd 13.730 2.290 1.347
Sb 20.119 3.356 1.973
Co 6.706 1.119 0.658
```

Computed properties:
The crystal system is trigonal. Its energy is -2.874 eV per atom. The uncorrected formation energy comes out at 0.390 eV/atom.



[20]
A geometry-optimized LaSn3Pd2 structure. Source: Alexandria via LeMat-Bulk, functional PBE-GGA.

Geometry as extended XYZ:
```
18
Lattice="-1.868 -2.381 3.452 2.005 -6.310 -6.320 9.016 1.375 5.828" Properties=species:S:1:pos:R:3 pbc="T T T"
Sn 1.321 -4.980 -2.720
Sn 3.574 -0.503 4.640
Sn 1.004 -2.891 1.602
Sn 5.351 -4.544 2.814
Sn 3.242 -0.185 1.627
Sn 5.911 -7.130 1.333
Sn 3.802 -2.771 0.146
Sn 7.832 -2.335 5.680
Sn 8.149 -4.424 1.358
Pd 7.849 -4.575 4.144
Pd 1.304 -2.740 -1.184
Pd 3.429 -2.728 3.027
Pd 3.059 -6.972 -3.154
Pd 6.094 -0.343 6.114
Pd 5.724 -4.588 -0.067
La 0.000 0.000 0.000
La 2.462 -5.926 0.297
La 6.691 -1.389 2.662
```

Computed properties:
The crystal system is monoclinic. Its energy is -5.208 eV per atom. Its calculated formation energy is -655 meV/atom.



[21]
A geometry-optimized Tb2HS3 structure. Source: Alexandria via LeMat-Bulk, functional PBE-GGA.

Geometry as extended XYZ:
```
24
Lattice="-2.347 -0.831 2.945 7.377 -6.269 4.112 3.989 8.320 5.527" Properties=species:S:1:pos:R:3 pbc="T T T"
Tb 8.332 -1.025 10.140
Tb 2.788 -2.169 5.398
Tb -0.289 -1.543 3.122
Tb 9.308 2.764 9.462
Tb 6.232 3.390 7.186
Tb 0.687 2.246 2.444
Tb 6.343 -0.571 6.157
Tb 2.676 1.792 6.426
S 4.894 1.037 7.981
S 3.539 4.046 7.750
S 2.408 -2.196 2.562
S 2.481 3.597 4.255
S 0.884 0.447 4.618
S 4.126 0.184 4.603
S 5.640 -5.452 6.745
S 6.538 -2.376 8.329
S 8.136 0.774 7.966
S 5.480 -2.825 4.834
S 6.612 3.417 10.022
S 3.379 6.673 5.839
H 0.936 0.034 2.019
H 4.620 2.759 5.723
H 8.083 1.187 10.565
H 4.400 -1.538 6.861
```

Computed properties:
The crystal system is orthorhombic. Its energy is -5.664 eV per atom.



[22]
A geometry-optimized DyCuNi2 structure. Source: Alexandria via LeMat-Bulk, functional PBE-GGA.

Geometry as extended XYZ:
```
4
Lattice="3.704 0.000 0.000 0.000 3.997 0.000 0.000 0.000 3.997" Properties=species:S:1:pos:R:3 pbc="T T T"
Ni 0.000 1.999 0.000
Ni 0.000 0.000 1.999
Cu 1.852 0.000 0.000
Dy 1.852 1.999 1.999
```

Computed properties:
The crystal system is tetragonal. Its energy is -5.271 eV per atom. Its calculated formation energy is -206 meV/atom.